The following is a GGA-PBEsol calculation of an optimized crystal structure of LiBr2, from Alexandria.

abc: 3.989 3.989 4.960
angles: 90.00 90.00 120.00
Positions (direct):
1 Li 0.000 0.000 0.000
2 Br 0.333 0.667 0.258
3 Br 0.667 0.333 0.742

Results
* theoretical density: 4.05 g cm⁻³
* crystal system: trigonal
* excess energy over the best structure of this formula in the dataset: 206 meV per atom
* ΔE_f (raw): -0.768 eV/atom
* VASP energy: -2.6700 eV per atom
* space-group type: P-3m1 (164)